[1]
Density functional theory data (PBE) for a relaxed DyMgTlIn crystal.

## Properties
Density of states at the Fermi level: 7.13 states/eV/cell
Total DFT energy (no corrections): -12.252 eV per formula unit
Space group: F-43m
Formation enthalpy at 0 K: -0.95 eV per formula unit
M_tot: 0.0 μB/cell
Calculated density: 8.287 Mg/m³

Lattice parameters (Å, degrees): 7.402 7.402 7.402 90.00 90.00 90.00
Element x y z (fractional)
1 Dy 0.000 0.000 0.000
2 Dy 0.000 0.500 0.500
3 Dy 0.500 0.000 0.500
4 Dy 0.500 0.500 0.000
5 Mg 0.000 0.000 0.500
6 Mg 0.000 0.500 0.000
7 Mg 0.500 0.000 0.000
8 Mg 0.500 0.500 0.500
9 Tl 0.250 0.250 0.750
10 Tl 0.250 0.750 0.250
11 Tl 0.750 0.250 0.250
12 Tl 0.750 0.750 0.750
13 In 0.250 0.250 0.250
14 In 0.250 0.750 0.750
15 In 0.750 0.250 0.750
16 In 0.750 0.750 0.250

***

[2]
Density functional theory data (PBE) for a relaxed DyTmMgIn crystal.

## Properties
Density of states at the Fermi level: 11.09 states/eV/cell
Total DFT energy (no corrections): -14.626 eV per formula unit
Space group: F-43m
Formation enthalpy at 0 K: -1.22 eV per formula unit
M_tot: 0.0 μB/cell
Calculated density: 7.512 Mg/m³

Lattice parameters (Å, degrees): 7.465 7.465 7.465 90.00 90.00 90.00
Element x y z (fractional)
1 Dy 0.000 0.000 0.000
2 Dy 0.000 0.500 0.500
3 Dy 0.500 0.000 0.500
4 Dy 0.500 0.500 0.000
5 Tm 0.000 0.000 0.500
6 Tm 0.000 0.500 0.000
7 Tm 0.500 0.000 0.000
8 Tm 0.500 0.500 0.500
9 Mg 0.250 0.250 0.250
10 Mg 0.250 0.750 0.750
11 Mg 0.750 0.250 0.750
12 Mg 0.750 0.750 0.250
13 In 0.250 0.250 0.750
14 In 0.250 0.750 0.250
15 In 0.750 0.250 0.250
16 In 0.750 0.750 0.750

***

[3]
Density functional theory data (PBE) for a relaxed Dy2MnIn crystal.

## Properties
Density of states at the Fermi level: 20.41 states/eV/cell
Total DFT energy (no corrections): -21.502 eV per formula unit
Space group: Fm-3m
Formation enthalpy at 0 K: -0.39 eV per formula unit
M_tot: 13.5 μB/cell
Calculated density: 8.274 Mg/m³

Lattice parameters (Å, degrees): 7.351 7.351 7.351 90.00 90.00 90.00
Element x y z (fractional)
1 Dy 0.250 0.250 0.250
2 Dy 0.250 0.250 0.750
3 Dy 0.250 0.750 0.250
4 Dy 0.250 0.750 0.750
5 Dy 0.750 0.250 0.250
6 Dy 0.750 0.250 0.750
7 Dy 0.750 0.750 0.250
8 Dy 0.750 0.750 0.750
9 Mn 0.000 0.000 0.000
10 Mn 0.000 0.500 0.500
11 Mn 0.500 0.000 0.500
12 Mn 0.500 0.500 0.000
13 In 0.000 0.000 0.500
14 In 0.000 0.500 0.000
15 In 0.500 0.000 0.000
16 In 0.500 0.500 0.500

***

[4]
Density functional theory data (PBE) for a relaxed Dy4MnIn crystal.

## Properties
Density of states at the Fermi level: 14.38 states/eV/cell
Total DFT energy (no corrections): -30.973 eV per formula unit
Space group: C2/c
Formation enthalpy at 0 K: -0.66 eV per formula unit
M_tot: 1.6 μB/cell
Calculated density: 8.359 Mg/m³

Lattice parameters (Å, degrees): 7.856 7.856 5.980 99.63 99.63 112.31
Element x y z (fractional)
1 Dy 0.059 0.726 0.953
2 Dy 0.204 0.360 0.617
3 Dy 0.274 0.941 0.547
4 Dy 0.360 0.204 0.117
5 Dy 0.640 0.796 0.883
6 Dy 0.726 0.059 0.453
7 Dy 0.796 0.640 0.383
8 Dy 0.941 0.274 0.047
9 Mn 0.001 0.999 0.750
10 Mn 0.999 0.001 0.250
11 In 0.375 0.625 0.250
12 In 0.625 0.375 0.750

***

[5]
Density functional theory data (PBE) for a relaxed Dy2MnIn crystal.

## Properties
Density of states at the Fermi level: 4.01 states/eV/cell
Total DFT energy (no corrections): -21.523 eV per formula unit
Space group: P4/mmm
Formation enthalpy at 0 K: -0.41 eV per formula unit
M_tot: 3.2 μB/cell
Calculated density: 8.403 Mg/m³

Lattice parameters (Å, degrees): 4.819 4.819 4.211 90.00 90.00 90.00
Element x y z (fractional)
1 Dy 0.000 0.500 0.000
2 Dy 0.500 0.000 0.000
3 Mn 0.000 0.000 0.500
4 In 0.500 0.500 0.500

***

[6]
Density functional theory data (PBE) for a relaxed Dy2MnIn crystal.

## Properties
Density of states at the Fermi level: 3.85 states/eV/cell
Total DFT energy (no corrections): -21.713 eV per formula unit
Space group: P4/mmm
Formation enthalpy at 0 K: -0.60 eV per formula unit
M_tot: 3.2 μB/cell
Calculated density: 8.353 Mg/m³

Lattice parameters (Å, degrees): 3.600 3.600 7.589 90.00 90.00 90.00
Element x y z (fractional)
1 Dy 0.000 0.000 0.229
2 Dy 0.000 0.000 0.771
3 Mn 0.500 0.500 0.000
4 In 0.500 0.500 0.500

***

[7]
Density functional theory data (PBE) for a relaxed NdDyMnIn crystal.

## Properties
Density of states at the Fermi level: 18.23 states/eV/cell
Total DFT energy (no corrections): -21.578 eV per formula unit
Space group: F-43m
Formation enthalpy at 0 K: -0.30 eV per formula unit
M_tot: 13.4 μB/cell
Calculated density: 7.579 Mg/m³

Lattice parameters (Å, degrees): 7.475 7.475 7.475 90.00 90.00 90.00
Element x y z (fractional)
1 Nd 0.000 0.000 0.000
2 Nd 0.000 0.500 0.500
3 Nd 0.500 0.000 0.500
4 Nd 0.500 0.500 0.000
5 Dy 0.000 0.000 0.500
6 Dy 0.000 0.500 0.000
7 Dy 0.500 0.000 0.000
8 Dy 0.500 0.500 0.500
9 Mn 0.250 0.250 0.250
10 Mn 0.250 0.750 0.750
11 Mn 0.750 0.250 0.750
12 Mn 0.750 0.750 0.250
13 In 0.250 0.250 0.750
14 In 0.250 0.750 0.250
15 In 0.750 0.250 0.250
16 In 0.750 0.750 0.750

***

[8]
Density functional theory data (PBE) for a relaxed PmDyMnIn crystal.

## Properties
Density of states at the Fermi level: 18.65 states/eV/cell
Total DFT energy (no corrections): -21.589 eV per formula unit
Space group: F-43m
Formation enthalpy at 0 K: -0.33 eV per formula unit
M_tot: 13.4 μB/cell
Calculated density: 7.675 Mg/m³

Lattice parameters (Å, degrees): 7.447 7.447 7.447 90.00 90.00 90.00
Element x y z (fractional)
1 Pm 0.000 0.000 0.000
2 Pm 0.000 0.500 0.500
3 Pm 0.500 0.000 0.500
4 Pm 0.500 0.500 0.000
5 Dy 0.000 0.000 0.500
6 Dy 0.000 0.500 0.000
7 Dy 0.500 0.000 0.000
8 Dy 0.500 0.500 0.500
9 Mn 0.250 0.250 0.250
10 Mn 0.250 0.750 0.750
11 Mn 0.750 0.250 0.750
12 Mn 0.750 0.750 0.250
13 In 0.250 0.250 0.750
14 In 0.250 0.750 0.250
15 In 0.750 0.250 0.250
16 In 0.750 0.750 0.750

***

[9]
Density functional theory data (PBE) for a relaxed DyScMnIn crystal.

## Properties
Density of states at the Fermi level: 21.05 states/eV/cell
Total DFT energy (no corrections): -23.252 eV per formula unit
Space group: F-43m
Formation enthalpy at 0 K: -0.41 eV per formula unit
M_tot: 13.2 μB/cell
Calculated density: 6.875 Mg/m³

Lattice parameters (Å, degrees): 7.143 7.143 7.143 90.00 90.00 90.00
Element x y z (fractional)
1 Dy 0.000 0.000 0.000
2 Dy 0.000 0.500 0.500
3 Dy 0.500 0.000 0.500
4 Dy 0.500 0.500 0.000
5 Sc 0.000 0.000 0.500
6 Sc 0.000 0.500 0.000
7 Sc 0.500 0.000 0.000
8 Sc 0.500 0.500 0.500
9 Mn 0.250 0.250 0.250
10 Mn 0.250 0.750 0.750
11 Mn 0.750 0.250 0.750
12 Mn 0.750 0.750 0.250
13 In 0.250 0.250 0.750
14 In 0.250 0.750 0.250
15 In 0.750 0.250 0.250
16 In 0.750 0.750 0.750

***

[10]
Density functional theory data (PBE) for a relaxed DyMnInSe3 crystal.

## Properties
Density of states at the Fermi level: 0.16 states/eV/cell
Total DFT energy (no corrections): -32.898 eV per formula unit
Space group: Cmcm
M_tot: 10.0 μB/cell
Uncorrected formation energy: -0.99 eV per atom
Calculated density: 5.677 Mg/m³

Lattice parameters (Å, degrees): 7.566 7.566 11.032 90.00 90.00 148.18
Element x y z (fractional)
1 Dy 0.000 0.000 0.000
2 Dy 0.000 0.000 0.500
3 Mn 0.460 0.540 0.750
4 Mn 0.540 0.460 0.250
5 In 0.248 0.752 0.250
6 In 0.752 0.248 0.750
7 Se 0.065 0.935 0.750
8 Se 0.370 0.630 0.559
9 Se 0.370 0.630 0.941
10 Se 0.630 0.370 0.059
11 Se 0.630 0.370 0.441
12 Se 0.935 0.065 0.250

***

[11]
Density functional theory data (PBE) for a relaxed TbDyMnIn crystal.

## Properties
Density of states at the Fermi level: 20.26 states/eV/cell
Total DFT energy (no corrections): -21.525 eV per formula unit
Space group: F-43m
Formation enthalpy at 0 K: -0.38 eV per formula unit
M_tot: 13.5 μB/cell
Calculated density: 8.159 Mg/m³

Lattice parameters (Å, degrees): 7.367 7.367 7.367 90.00 90.00 90.00
Element x y z (fractional)
1 Tb 0.000 0.000 0.000
2 Tb 0.000 0.500 0.500
3 Tb 0.500 0.000 0.500
4 Tb 0.500 0.500 0.000
5 Dy 0.000 0.000 0.500
6 Dy 0.000 0.500 0.000
7 Dy 0.500 0.000 0.000
8 Dy 0.500 0.500 0.500
9 Mn 0.250 0.250 0.750
10 Mn 0.250 0.750 0.250
11 Mn 0.750 0.250 0.250
12 Mn 0.750 0.750 0.750
13 In 0.250 0.250 0.250
14 In 0.250 0.750 0.750
15 In 0.750 0.250 0.750
16 In 0.750 0.750 0.250

***

[12]
Density functional theory data (PBE) for a relaxed DyYMnIn crystal.

## Properties
Density of states at the Fermi level: 20.95 states/eV/cell
Total DFT energy (no corrections): -23.405 eV per formula unit
Space group: F-43m
Formation enthalpy at 0 K: -0.43 eV per formula unit
M_tot: 13.7 μB/cell
Calculated density: 7.006 Mg/m³

Lattice parameters (Å, degrees): 7.364 7.364 7.364 90.00 90.00 90.00
Element x y z (fractional)
1 Dy 0.000 0.000 0.000
2 Dy 0.000 0.500 0.500
3 Dy 0.500 0.000 0.500
4 Dy 0.500 0.500 0.000
5 Y 0.000 0.000 0.500
6 Y 0.000 0.500 0.000
7 Y 0.500 0.000 0.000
8 Y 0.500 0.500 0.500
9 Mn 0.250 0.250 0.750
10 Mn 0.250 0.750 0.250
11 Mn 0.750 0.250 0.250
12 Mn 0.750 0.750 0.750
13 In 0.250 0.250 0.250
14 In 0.250 0.750 0.750
15 In 0.750 0.250 0.750
16 In 0.750 0.750 0.250